{
  "formula": "HfScCrAs2",
  "functional": "GGA-PBE",
  "state": "relaxed",
  "cell": [[4.9256, 0.0000, 0.0000], [0.0000, 4.9499, 0.0000], [0.0000, 0.0000, 4.9256]],
  "species": ["Sc", "Cr", "As", "As", "Hf"],
  "fractional_positions": [[0.0000, 0.0000, 0.0000], [0.5000, 0.5000, 0.5000], [0.0000, 0.0000, 0.5000], [0.5000, 0.0000, 0.0000], [0.0000, 0.5000, 0.0000]],
  "de_polymorph_mev_per_atom": 109,
  "e_tot_ev_per_atom": -5.73,
  "e_form_mev_per_atom": 1313,
  "dos_at_fermi_per_ev_fu": 6.90,
  "spacegroup": "No. 123",
  "magnetic_moment_mub_per_atom": 0.09
}